Entry from Alexandria: an optimized crystal structure of PmMnAs2O6 (GGA+U).

Summary:
* total DFT energy (no corrections): -138.59 eV for the cell shown
* crystal system: monoclinic

Lattice parameters (Å, degrees): 6.690 6.601 6.601 101.32 79.77 79.77
Sites, in units of the cell vectors:
O 0.628 0.787 0.993
O 0.347 0.608 0.760
As 0.230 0.744 0.588
As 0.770 0.256 0.412
O 0.372 0.213 0.007
O 0.153 0.240 0.392
O 0.094 0.595 0.169
O 0.847 0.760 0.608
O 0.906 0.405 0.831
O 0.872 0.007 0.213
Mn 0.250 0.278 0.722
As 0.270 0.412 0.256
O 0.406 0.831 0.405
O 0.653 0.392 0.240
Mn 0.750 0.722 0.278
Pm 0.750 0.106 0.894
Pm 0.250 0.894 0.106
As 0.730 0.588 0.744
O 0.594 0.169 0.595
O 0.128 0.993 0.787